Arrangement i

VASP calculation (PBE-GGA) on an optimized crystal structure of Y2MgPPd.

## Properties
**Size of the total moment**: 0.00 Bohr magnetons per cell
**D(E_F)**: 1.1597 states/eV/atom

a = 5.462 Å, b = 5.462 Å, c = 4.502 Å
α = 90.00°, β = 90.00°, γ = 90.00°
Space group P4/mmm (No. 123)
Asymmetric unit:
1 Y 0.000 0.500 0.000
2 Mg 0.000 0.000 0.500
3 P 0.500 0.500 0.500
4 Pd 0.500 0.500 0.000

=====

Arrangement ii

VASP calculation (PBE-GGA) on an optimized crystal structure of Y2MgPPd.

## Properties
**Size of the total moment**: 0.00 Bohr magnetons per cell
**D(E_F)**: 1.0140 states/eV/atom

a = 5.484 Å, b = 5.484 Å, c = 4.440 Å
α = 90.00°, β = 90.00°, γ = 90.00°
Space group P4/mmm (No. 123)
Asymmetric unit:
1 Y 0.000 0.500 0.000
2 Mg 0.000 0.000 0.000
3 P 0.000 0.000 0.500
4 Pd 0.500 0.500 0.500

=====

Which structure loses on stability? arrangement ii does.

=====

Arrangement i

VASP calculation (PBE-GGA) on an optimized crystal structure of Pm2MgP.

## Properties
**Size of the total moment**: 0.00 Bohr magnetons per cell
**D(E_F)**: 0.9332 states/eV/atom

a = 4.0157 Å, b = 4.0157 Å, c = 25.0487 Å
α = 90.00°, β = 90.00°, γ = 120.00°
Space group R-3m (No. 166, hexagonal axes)
Asymmetric unit:
1 Pm 0.0000 0.0000 0.2316
2 Mg 0.0000 0.0000 0.0000
3 P 0.0000 0.0000 0.5000

=====

Arrangement ii

VASP calculation (PBE-GGA) on an optimized crystal structure of Pm2MgP.

## Properties
**Size of the total moment**: 0.00 Bohr magnetons per cell
**D(E_F)**: 0.6542 states/eV/atom

a = 3.779 Å, b = 3.779 Å, c = 6.947 Å
α = 90.00°, β = 90.00°, γ = 90.00°
Space group P4/mmm (No. 123)
Asymmetric unit:
1 Pm 0.000 0.000 0.224
2 Mg 0.500 0.500 0.500
3 P 0.500 0.500 0.000

=====

Which structure loses on stability? arrangement ii does.

=====

Arrangement i

VASP calculation (PBE-GGA) on an optimized crystal structure of Mg2PPt2.

## Properties
**Size of the total moment**: 0.00 Bohr magnetons per cell
**D(E_F)**: 0.3096 states/eV/atom

a = 6.402 Å, b = 6.402 Å, c = 4.170 Å
α = 90.00°, β = 90.00°, γ = 90.00°
Space group P4/mbm (No. 127)
Asymmetric unit:
1 Mg 0.160 0.340 0.000
2 P 0.000 0.000 0.500
3 Pt 0.155 0.655 0.500

=====

Arrangement ii

VASP calculation (PBE-GGA) on an optimized crystal structure of Mg2PPt2.

## Properties
**Size of the total moment**: 0.00 Bohr magnetons per cell
**D(E_F)**: 0.3844 states/eV/atom

a = 7.712 Å, b = 7.712 Å, c = 2.864 Å
α = 90.00°, β = 90.00°, γ = 90.00°
Space group P4/mbm (No. 127)
Asymmetric unit:
1 Mg 0.155 0.345 0.000
2 P 0.000 0.000 0.000
3 Pt 0.141 0.641 0.500

=====

Which structure loses on stability? arrangement ii does.

=====

Arrangement i

VASP calculation (PBE-GGA) on an optimized crystal structure of Pu2MgP.

## Properties
**Size of the total moment**: 34.32 Bohr magnetons per cell
**D(E_F)**: 3.7362 states/eV/atom

a = 3.5220 Å, b = 3.5220 Å, c = 30.8219 Å
α = 90.00°, β = 90.00°, γ = 120.00°
Space group R-3m (No. 166, hexagonal axes)
Asymmetric unit:
1 Pu 0.0000 0.0000 0.1083
2 Mg 0.0000 0.0000 0.0000
3 P 0.0000 0.0000 0.5000

=====

Arrangement ii

VASP calculation (PBE-GGA) on an optimized crystal structure of Pu2MgP.

## Properties
**Size of the total moment**: 12.02 Bohr magnetons per cell
**D(E_F)**: 3.0316 states/eV/atom

a = 3.483 Å, b = 3.483 Å, c = 7.861 Å
α = 90.00°, β = 90.00°, γ = 90.00°
Space group P4/mmm (No. 123)
Asymmetric unit:
1 Pu 0.000 0.000 0.196
2 Mg 0.500 0.500 0.500
3 P 0.500 0.500 0.000

=====

Which structure loses on stability? arrangement i does.

=====

Arrangement i

VASP calculation (PBE-GGA) on an optimized crystal structure of RbMg2P2.

## Properties
**Size of the total moment**: 0.00 Bohr magnetons per cell
**D(E_F)**: 0.5247 states/eV/atom

a = 5.068 Å, b = 5.068 Å, c = 11.790 Å
α = 90.00°, β = 90.00°, γ = 90.00°
Space group I4/mmm (No. 139)
Asymmetric unit:
1 Rb 0.000 0.000 0.000
2 Mg 0.000 0.000 0.292
3 P 0.000 0.500 0.250

=====

Arrangement ii

VASP calculation (PBE-GGA) on an optimized crystal structure of RbMg2P2.

## Properties
**Size of the total moment**: 0.00 Bohr magnetons per cell
**D(E_F)**: 0.1482 states/eV/atom

a = 8.152 Å, b = 8.152 Å, c = 3.155 Å
α = 90.00°, β = 90.00°, γ = 90.00°
Space group P4/mbm (No. 127)
Asymmetric unit:
1 Rb 0.000 0.000 0.000
2 Mg 0.127 0.373 0.000
3 P 0.160 0.660 0.500

=====

Which structure loses on stability? arrangement i does.

=====

Arrangement i

VASP calculation (PBE-GGA) on an optimized crystal structure of RbMgPS2.

## Properties
**Size of the total moment**: 0.00 Bohr magnetons per cell
**D(E_F)**: 0.7341 states/eV/atom

a = 4.788 Å, b = 4.788 Å, c = 5.916 Å
α = 90.00°, β = 90.00°, γ = 90.00°
Space group P4/mmm (No. 123)
Asymmetric unit:
1 Rb 0.000 0.000 0.000
2 Mg 0.500 0.500 0.000
3 P 0.000 0.000 0.500
4 S 0.000 0.500 0.500

=====

Arrangement ii

VASP calculation (PBE-GGA) on an optimized crystal structure of RbMgPS2.

## Properties
**Size of the total moment**: 0.00 Bohr magnetons per cell
**D(E_F)**: 1.0638 states/eV/atom

a = 5.053 Å, b = 5.053 Å, c = 4.935 Å
α = 90.00°, β = 90.00°, γ = 90.00°
Space group P4/mmm (No. 123)
Asymmetric unit:
1 Rb 0.000 0.000 0.000
2 Mg 0.500 0.500 0.500
3 P 0.500 0.500 0.000
4 S 0.000 0.500 0.500

=====

Arrangement iii

VASP calculation (PBE-GGA) on an optimized crystal structure of RbMgPS2.

## Properties
**Size of the total moment**: 1.23 Bohr magnetons per cell
**D(E_F)**: 1.4635 states/eV/atom

a = 5.481 Å, b = 5.481 Å, c = 5.337 Å
α = 90.00°, β = 90.00°, γ = 90.00°
Space group P4/mmm (No. 123)
Asymmetric unit:
1 Rb 0.000 0.000 0.000
2 Mg 0.500 0.500 0.500
3 P 0.000 0.000 0.500
4 S 0.000 0.500 0.000

=====

Which structure loses on stability? arrangement iii does.